MgSc6Tl5: optimized geometry, PBE.

Values from the calculation:
Space group: No. 71
D(E_F), states/eV/f.u.: 11.50
Spin magnetization, μB per formula unit: 0.00
Theoretical density, Mg/m³: 7.9
Formation energy from the elements, eV/atom: -0.243

Cell and atoms, written as extended XYZ:
```
12
Lattice="-2.5391 3.5767 7.6611 2.5391 -3.5767 7.6611 2.5391 3.5767 -7.6611" Properties=species:S:1:pos:R:3 pbc="T T T"
Mg 0.0000 0.0000 0.0000
Sc 2.5391 -1.7653 5.0659
Sc 2.5391 1.8536 0.0000
Sc 0.0000 1.8113 2.5952
Sc 2.5391 1.7653 5.0659
Sc 0.0000 1.7231 7.6611
Sc 0.0000 5.3420 2.5952
Tl 2.5391 0.0000 2.3770
Tl 0.0000 0.0000 5.0773
Tl 0.0000 3.5767 0.0000
Tl 0.0000 0.0000 10.2449
Tl 0.0000 3.5767 5.2842
```



CaHf: optimized geometry, PBE.

Values from the calculation:
Distance to the lowest polymorph of the same formula, meV/atom: 90
Space group: No. 83
D(E_F), states/eV/f.u.: 3.17
Spin magnetization, μB per formula unit: 0.00
Theoretical density, Mg/m³: 5.4
Formation energy from the elements, eV/atom: 0.475

Cell and atoms, written as extended XYZ:
```
16
Lattice="10.2083 0.0000 0.0000 0.0000 10.2083 0.0000 0.0000 0.0000 5.1884" Properties=species:S:1:pos:R:3 pbc="T T T"
Ca 0.8650 6.5942 0.0000
Ca 1.3796 2.5659 2.5942
Ca 2.5659 8.8288 2.5942
Ca 3.6141 0.8650 0.0000
Ca 6.5942 9.3433 0.0000
Ca 7.6424 1.3796 2.5942
Ca 8.8288 7.6424 2.5942
Ca 9.3433 3.6141 0.0000
Hf 2.9745 5.5491 2.5942
Hf 3.1983 4.1540 0.0000
Hf 4.1540 7.0100 0.0000
Hf 4.6592 2.9745 2.5942
Hf 5.5491 7.2338 2.5942
Hf 6.0543 3.1983 0.0000
Hf 7.0100 6.0543 0.0000
Hf 7.2338 4.6592 2.5942
```



LaSm12Tm6: optimized geometry, PBE.

Values from the calculation:
Distance to the lowest polymorph of the same formula, meV/atom: 0
Space group: No. 148
D(E_F), states/eV/f.u.: 32.89
Spin magnetization, μB per formula unit: 0.00
Theoretical density, Mg/m³: 7.7
Formation energy from the elements, eV/atom: 0.140

Cell and atoms, written as extended XYZ:
```
19
Lattice="6.0154 3.4730 5.0782 -6.0154 3.4730 5.0782 0.0000 -6.9459 5.0782" Properties=species:S:1:pos:R:3 pbc="T T T"
La 0.0000 0.0000 0.0000
Sm -1.1104 -1.7740 2.9240
Sm -0.9812 1.8487 2.9240
Sm -1.4481 -1.5695 6.3419
Sm 2.0916 -0.0746 2.9240
Sm -2.0833 0.4694 8.8927
Sm -0.6351 2.0389 6.3419
Sm 0.6351 -2.0389 8.8927
Sm 2.0833 -0.4694 6.3419
Sm -2.0916 0.0746 12.3106
Sm 1.4481 1.5695 8.8927
Sm 0.9811 -1.8487 12.3106
Sm 1.1104 1.7740 12.3106
Tm -3.5935 0.9697 5.3552
Tm 0.9570 -3.5969 5.3552
Tm -2.6365 -2.6272 9.8793
Tm 2.6365 2.6272 5.3552
Tm -0.9570 3.5969 9.8793
Tm 3.5935 -0.9697 9.8793
```



Ag3Br3F: optimized geometry, PBE.

Values from the calculation:
ΔE_f (raw), eV per atom: -0.488
Space group: No. 11
D(E_F), states/eV/f.u.: 3.40
Spin magnetization, μB per formula unit: 0.00
Theoretical density, Mg/m³: 5.5

Cell and atoms, written as extended XYZ:
```
14
Lattice="8.1149 0.0000 0.0000 0.0000 5.5370 0.0000 -2.2633 0.0000 7.7929" Properties=species:S:1:pos:R:3 pbc="T T T"
Ag 0.0266 1.3842 2.6483
Ag 2.5493 4.1527 0.7636
Ag 1.4913 4.1527 4.9673
Ag 4.3602 1.3842 2.8256
Ag 3.3022 1.3842 7.0293
Ag 5.8249 4.1527 5.1446
Br 0.0728 4.1527 2.7069
Br 2.5925 1.3842 0.8250
Br 1.7067 1.3842 4.8060
Br 4.1449 4.1527 2.9869
Br 3.2590 4.1527 6.9679
Br 5.7787 1.3842 5.0859
F -0.5243 4.1527 6.4891
F 6.3759 1.3842 1.3038
```



NdIBr: optimized geometry, PBE.

Values from the calculation:
Distance to the lowest polymorph of the same formula, meV/atom: 156
ΔE_f (raw), eV per atom: -1.350
Space group: No. 46
D(E_F), states/eV/f.u.: 1.33
Spin magnetization, μB per formula unit: 0.00
Theoretical density, Mg/m³: 5.0

Cell and atoms, written as extended XYZ:
```
6
Lattice="-3.1198 3.2602 5.7444 3.1198 -3.2602 5.7444 3.1198 3.2602 -5.7444" Properties=species:S:1:pos:R:3 pbc="T T T"
Nd 1.5599 1.2809 0.0000
Nd 1.5599 1.9793 5.7444
I 1.5599 -1.3979 5.7451
I 1.5599 4.6581 0.0008
Br 1.5599 1.6325 -2.8714
Br 1.5599 1.6277 2.8729
```



Cd2IrRh: optimized geometry, PBE.

Values from the calculation:
Space group: No. 65
D(E_F), states/eV/f.u.: 3.49
Spin magnetization, μB per formula unit: 0.00
Theoretical density, Mg/m³: 12.7
Formation energy from the elements, eV/atom: 0.171

Cell and atoms, written as extended XYZ:
```
4
Lattice="1.5004 -2.4244 0.0000 1.5004 2.4244 0.0000 0.0000 0.0000 9.3195" Properties=species:S:1:pos:R:3 pbc="T T T"
Cd 0.0000 0.0000 2.3063
Cd 0.0000 0.0000 7.0132
Ir 1.5004 0.0000 4.6597
Rh 1.5004 0.0000 0.0000
```



PmAsBrO4: optimized geometry, PBE.

Values from the calculation:
ΔE_f (raw), eV per atom: -1.888
Space group: No. 12
Spin magnetization, μB per formula unit: 0.00
Theoretical density, Mg/m³: 4.6

Cell and atoms, written as extended XYZ:
```
14
Lattice="5.9005 -3.2543 0.0000 5.9005 3.2543 0.0000 -1.4074 0.0000 6.8014" Properties=species:S:1:pos:R:3 pbc="T T T"
Pm 1.9457 0.0000 2.2109
Pm 8.4478 0.0000 4.5905
As 0.5290 0.0000 5.1658
As 9.8645 0.0000 1.6356
Br 4.5104 0.0000 5.6525
Br 5.8831 0.0000 1.1490
O -0.2524 0.0000 1.8047
O 3.2413 1.9401 2.5338
O 1.0045 0.0000 6.7901
O 7.1522 1.9401 4.2676
O 3.2413 -1.9401 2.5338
O 9.3890 0.0000 0.0113
O 7.1522 -1.9401 4.2676
O 10.6459 0.0000 4.9968
```



WAuBr: optimized geometry, PBE.

Values from the calculation:
Distance to the lowest polymorph of the same formula, meV/atom: 0
ΔE_f (raw), eV per atom: 0.524
Space group: No. 156
D(E_F), states/eV/f.u.: 2.55
Spin magnetization, μB per formula unit: 0.00
Theoretical density, Mg/m³: 12.9

Cell and atoms, written as extended XYZ:
```
3
Lattice="3.1064 0.0000 0.0000 -1.5532 2.6902 0.0000 0.0000 0.0000 7.0701" Properties=species:S:1:pos:R:3 pbc="T T T"
W 0.0000 0.0000 0.0000
Au 1.5532 0.8967 2.1513
Br 0.0000 1.7935 5.1815
```



Ce2PuSc2: optimized geometry, PBE.

Values from the calculation:
Space group: No. 141
D(E_F), states/eV/f.u.: 9.19
Spin magnetization, μB per formula unit: 7.50
Theoretical density, Mg/m³: 7.4
Formation energy from the elements, eV/atom: 0.309

Cell and atoms, written as extended XYZ:
```
10
Lattice="-2.3645 2.3645 12.3732 2.3645 -2.3645 12.3732 2.3645 2.3645 -12.3732" Properties=species:S:1:pos:R:3 pbc="T T T"
Ce 2.3645 1.1822 -4.4544
Ce 0.0000 1.1822 1.7322
Ce 2.3645 1.1822 10.6410
Ce 0.0000 1.1822 16.8276
Pu 2.3645 -1.1822 9.2799
Pu 0.0000 3.5467 3.0933
Sc 2.3645 1.1822 -1.0735
Sc 0.0000 1.1822 5.1131
Sc 2.3645 1.1822 7.2601
Sc 0.0000 1.1822 13.4467
```



ReAs4: optimized geometry, PBE.

Values from the calculation:
Distance to the lowest polymorph of the same formula, meV/atom: 0
Space group: No. 87
D(E_F), states/eV/f.u.: 2.68
Spin magnetization, μB per formula unit: 0.00
Theoretical density, Mg/m³: 7.3
Formation energy from the elements, eV/atom: 0.389

Cell and atoms, written as extended XYZ:
```
5
Lattice="-3.8446 3.8446 1.8591 3.8446 -3.8446 1.8591 3.8446 3.8446 -1.8591" Properties=species:S:1:pos:R:3 pbc="T T T"
Re 0.0000 0.0000 0.0000
As 3.8226 2.0036 0.0000
As 1.8410 -0.0219 1.8591
As 2.0036 3.8665 0.0000
As 0.0219 1.8410 1.8591
```



K2SrLaB: optimized geometry, PBE.

Values from the calculation:
Space group: No. 123
D(E_F), states/eV/f.u.: 7.60
Spin magnetization, μB per formula unit: 1.95
Theoretical density, Mg/m³: 1.7
Formation energy from the elements, eV/atom: 1.858

Cell and atoms, written as extended XYZ:
```
5
Lattice="6.9403 0.0000 0.0000 0.0000 6.9403 0.0000 0.0000 0.0000 6.4556" Properties=species:S:1:pos:R:3 pbc="T T T"
K 0.0000 3.4702 0.0000
K 3.4702 0.0000 0.0000
Sr 0.0000 0.0000 0.0000
La 0.0000 0.0000 3.2278
B 3.4702 3.4702 3.2278
```



LiSiF2: optimized geometry, PBE.

Values from the calculation:
Distance to the lowest polymorph of the same formula, meV/atom: 604
ΔE_f (raw), eV per atom: -1.560
Space group: No. 122
D(E_F), states/eV/f.u.: 1.08
Spin magnetization, μB per formula unit: 0.85
Theoretical density, Mg/m³: 2.2

Cell and atoms, written as extended XYZ:
```
8
Lattice="-2.5385 2.5385 4.2524 2.5385 -2.5385 4.2524 2.5385 2.5385 -4.2524" Properties=species:S:1:pos:R:3 pbc="T T T"
Li 0.0000 0.0000 0.0000
Li 0.0000 2.5385 2.1262
Si 2.5385 0.0000 2.1262
Si 0.0000 0.0000 4.2524
F 3.8078 0.8479 -1.0631
F 0.8479 1.2693 1.0631
F -1.2693 1.6906 3.1893
F 1.6906 1.2693 5.3155
```



AlCdIr2: optimized geometry, PBE.

Values from the calculation:
Space group: No. 99
D(E_F), states/eV/f.u.: 5.35
Spin magnetization, μB per formula unit: 0.00
Theoretical density, Mg/m³: 13.3
Formation energy from the elements, eV/atom: -0.033

Cell and atoms, written as extended XYZ:
```
4
Lattice="2.8437 0.0000 0.0000 0.0000 2.8437 0.0000 0.0000 0.0000 8.0826" Properties=species:S:1:pos:R:3 pbc="T T T"
Al 0.0000 0.0000 0.0000
Cd 1.4218 1.4218 2.4572
Ir 0.0000 0.0000 4.5741
Ir 1.4218 1.4218 6.4510
```



CdNiP2: optimized geometry, PBE.

Values from the calculation:
Space group: No. 6
D(E_F), states/eV/f.u.: 1.07
Spin magnetization, μB per formula unit: 0.00
Theoretical density, Mg/m³: 5.4
Formation energy from the elements, eV/atom: 0.002

Cell and atoms, written as extended XYZ:
```
4
Lattice="3.8679 0.0000 0.0000 0.0000 3.2451 0.0000 -1.7960 0.0000 5.6957" Properties=species:S:1:pos:R:3 pbc="T T T"
Cd 0.0000 0.0000 0.0000
Ni 0.1715 1.6226 4.2475
P -0.4474 0.0000 2.6776
P 2.0109 1.6226 3.0504
```



Zr4TcOs2: optimized geometry, PBE.

Values from the calculation:
Space group: No. 139
D(E_F), states/eV/f.u.: 6.26
Spin magnetization, μB per formula unit: 0.00
Theoretical density, Mg/m³: 10.1
Formation energy from the elements, eV/atom: -0.309

Cell and atoms, written as extended XYZ:
```
7
Lattice="-3.2718 3.2718 3.2422 3.2718 -3.2718 3.2422 3.2718 3.2718 -3.2422" Properties=species:S:1:pos:R:3 pbc="T T T"
Zr 1.6359 1.6359 -1.6211
Zr 1.6359 -1.6359 1.6211
Zr -1.6359 1.6359 1.6211
Zr 1.6359 1.6359 1.6211
Tc 0.0000 0.0000 0.0000
Os 3.2718 0.0000 0.0000
Os 0.0000 3.2718 0.0000
```



PuP3: optimized geometry, PBE.

Values from the calculation:
Space group: No. 194
D(E_F), states/eV/f.u.: 4.45
Spin magnetization, μB per formula unit: 4.56
Theoretical density, Mg/m³: 7.8
Formation energy from the elements, eV/atom: -0.526

Cell and atoms, written as extended XYZ:
```
8
Lattice="5.5632 0.0000 0.0000 -2.7816 4.8179 0.0000 0.0000 0.0000 5.3590" Properties=species:S:1:pos:R:3 pbc="T T T"
Pu 0.0000 3.2119 1.3397
Pu 2.7816 1.6060 4.0192
P 0.0000 1.8761 4.0192
P -1.1569 3.8799 4.0192
P 1.6247 0.9380 1.3397
P 1.1569 3.8799 4.0192
P 3.9385 0.9380 1.3397
P 2.7816 2.9418 1.3397
```



Cr2CdRh: optimized geometry, PBE.

Values from the calculation:
Space group: No. 166
D(E_F), states/eV/f.u.: 4.33
Spin magnetization, μB per formula unit: 0.00
Theoretical density, Mg/m³: 9.2
Formation energy from the elements, eV/atom: 0.396

Cell and atoms, written as extended XYZ:
```
4
Lattice="1.3574 0.7837 9.0433 -1.3574 0.7837 9.0433 0.0000 -1.5674 9.0433" Properties=species:S:1:pos:R:3 pbc="T T T"
Cr 0.0000 0.0000 6.5980
Cr 0.0000 0.0000 20.5320
Cd 0.0000 0.0000 0.0000
Rh 0.0000 0.0000 13.5650
```



BaSbS2N: optimized geometry, PBE.

Values from the calculation:
Distance to the lowest polymorph of the same formula, meV/atom: 0
ΔE_f (raw), eV per atom: -0.373
Space group: No. 123
D(E_F), states/eV/f.u.: 2.80
Spin magnetization, μB per formula unit: 0.48
Theoretical density, Mg/m³: 5.0

Cell and atoms, written as extended XYZ:
```
5
Lattice="5.2283 0.0000 0.0000 0.0000 5.2283 0.0000 0.0000 0.0000 4.1274" Properties=species:S:1:pos:R:3 pbc="T T T"
Ba 0.0000 0.0000 0.0000
Sb 2.6142 2.6142 2.0637
S 0.0000 2.6142 2.0637
S 2.6142 0.0000 2.0637
N 2.6142 2.6142 0.0000
```



BeAlIn2: optimized geometry, PBE.

Values from the calculation:
Distance to the lowest polymorph of the same formula, meV/atom: 185
Space group: No. 225
D(E_F), states/eV/f.u.: 2.38
Spin magnetization, μB per formula unit: 0.00
Theoretical density, Mg/m³: 5.4
Formation energy from the elements, eV/atom: 0.477

Cell and atoms, written as extended XYZ:
```
4
Lattice="0.0000 3.4356 3.4356 3.4356 0.0000 3.4356 3.4356 3.4356 0.0000" Properties=species:S:1:pos:R:3 pbc="T T T"
Be 0.0000 0.0000 0.0000
Al 3.4356 3.4356 3.4356
In 1.7178 1.7178 1.7178
In 5.1534 5.1534 5.1534
```



Ce2Co3CuGe4: optimized geometry, PBE.

Values from the calculation:
Space group: No. 115
D(E_F), states/eV/f.u.: 11.31
Spin magnetization, μB per formula unit: 0.85
Theoretical density, Mg/m³: 8.1
Formation energy from the elements, eV/atom: -0.549

Cell and atoms, written as extended XYZ:
```
10
Lattice="4.1248 0.0000 0.0000 0.0000 4.1248 0.0000 0.0000 0.0000 9.7376" Properties=species:S:1:pos:R:3 pbc="T T T"
Ce 0.0000 2.0624 2.3945
Ce 2.0624 0.0000 7.3432
Co 0.0000 2.0624 8.5248
Co 2.0624 0.0000 1.2129
Co 2.0624 2.0624 4.8688
Cu 0.0000 0.0000 4.8688
Ge 0.0000 0.0000 0.0000
Ge 0.0000 2.0624 6.1846
Ge 2.0624 0.0000 3.5531
Ge 2.0624 2.0624 0.0000
```



U3Nb4As4: optimized geometry, PBE.

Values from the calculation:
Space group: No. 38
D(E_F), states/eV/f.u.: 12.97
Spin magnetization, μB per formula unit: 2.45
Theoretical density, Mg/m³: 10.4
Formation energy from the elements, eV/atom: -0.456

Cell and atoms, written as extended XYZ:
```
11
Lattice="8.7833 0.0000 0.0000 0.0000 1.8156 6.9453 0.0000 -1.8156 6.9453" Properties=species:S:1:pos:R:3 pbc="T T T"
U 0.0000 0.0000 0.0000
U 2.1518 0.0000 1.3981
U 6.6315 0.0000 1.3981
Nb 0.0000 0.0000 4.3478
Nb 2.2209 0.0000 11.0203
Nb 4.3916 0.0000 4.3497
Nb 6.5624 0.0000 11.0203
As 0.0000 0.0000 9.3240
As 2.2139 0.0000 6.0257
As 4.3916 0.0000 9.3063
As 6.5694 0.0000 6.0257
```



La8Nd3Dy2: optimized geometry, PBE.

Values from the calculation:
Distance to the lowest polymorph of the same formula, meV/atom: 0
Space group: No. 12
D(E_F), states/eV/f.u.: 22.01
Spin magnetization, μB per formula unit: 0.00
Theoretical density, Mg/m³: 6.6
Formation energy from the elements, eV/atom: 0.141

Cell and atoms, written as extended XYZ:
```
13
Lattice="6.7731 -5.9730 0.0000 6.7731 5.9730 0.0000 -2.4317 0.0000 5.7760" Properties=species:S:1:pos:R:3 pbc="T T T"
La -0.0258 0.0000 1.6900
La 2.3970 3.1095 4.7868
La 3.7587 0.0000 2.5462
La 8.7175 3.1095 0.9892
La 2.3970 -3.1095 4.7868
La 7.3558 0.0000 3.2298
La 8.7175 -3.1095 0.9892
La 11.1402 0.0000 4.0860
Nd 5.5572 2.9570 2.8880
Nd 6.7731 0.0000 0.0000
Nd 5.5572 -2.9570 2.8880
Dy 0.8535 0.0000 4.8126
Dy 10.2609 0.0000 0.9634
```



RbTaBe: optimized geometry, PBE.

Values from the calculation:
Distance to the lowest polymorph of the same formula, meV/atom: 467
Space group: No. 8
D(E_F), states/eV/f.u.: 3.08
Spin magnetization, μB per formula unit: 0.00
Theoretical density, Mg/m³: 5.0
Formation energy from the elements, eV/atom: 0.918

Cell and atoms, written as extended XYZ:
```
6
Lattice="7.9042 -1.7257 0.0000 7.9042 1.7257 0.0000 -3.5469 0.0000 6.6417" Properties=species:S:1:pos:R:3 pbc="T T T"
Rb 0.0000 0.0000 0.0000
Rb 8.0703 0.0000 4.4932
Ta 4.7849 0.0000 1.4520
Ta 10.8343 0.0000 1.9907
Be 3.7086 0.0000 3.5837
Be 12.8744 0.0000 3.2091
```



TlSbPb: optimized geometry, PBE.

Values from the calculation:
Distance to the lowest polymorph of the same formula, meV/atom: 53
ΔE_f (raw), eV per atom: 0.022
Space group: No. 12
D(E_F), states/eV/f.u.: 1.04
Spin magnetization, μB per formula unit: 0.00
Theoretical density, Mg/m³: 8.9

Cell and atoms, written as extended XYZ:
```
6
Lattice="6.6764 -2.3198 0.0000 6.6764 2.3198 0.0000 -4.3411 0.0000 6.4562" Properties=species:S:1:pos:R:3 pbc="T T T"
Tl 0.8888 0.0000 1.7387
Tl 8.1230 0.0000 4.7176
Sb -0.9363 0.0000 4.4303
Sb 9.9481 0.0000 2.0259
Pb 4.9019 0.0000 0.7860
Pb 4.1099 0.0000 5.6702
```